# Li2VCrO4

An optimized crystal structure of Li2VCrO4 (PBE+U, the Alexandria database).

Output
- DFT total energy: -6.882 eV/atom
- Relative energy among the computed polymorphs: 0.029 eV/atom

Unit cell a=9.8398 b=4.0659 c=8.1757 alpha=90.00 beta=114.53 gamma=90.00
Space group Cm (No. 8)
One atom of each set of equivalent atoms:
Li1 0.0000 0.0000 0.0000 [2 per cell]
Li2 0.0042 0.0000 0.5021 [2 per cell]
Li3 0.2391 0.0000 0.8695 [2 per cell]
Li4 0.2685 0.0000 0.3842 [2 per cell]
V1 0.2563 0.5000 0.6284 [2 per cell]
V2 0.2570 0.5000 0.1283 [2 per cell]
Cr1 0.0073 0.5000 0.7539 [2 per cell]
Cr2 0.0083 0.5000 0.2551 [2 per cell]
O1 0.0198 0.5000 0.5099 [2 per cell]
O2 0.0331 0.5000 0.0173 [2 per cell]
O3 0.2344 0.5000 0.8627 [2 per cell]
O4 0.2345 0.5000 0.3713 [2 per cell]
O5 0.2803 0.0000 0.1372 [2 per cell]
O6 0.2801 0.0000 0.6415 [2 per cell]
O7 0.4873 0.5000 0.2428 [2 per cell]
O8 0.4926 0.5000 0.7475 [2 per cell]